# 1
A plane-wave DFT calculation with PBE was carried out for crystalline Mo2N at its relaxed geometry.

Cell: 2.9097 2.9097 14.9646 Å, 90.00 90.00 120.00°
Space group R-3m (No. 166, hexagonal axes)
One atom of each set of equivalent atoms:
Mo1 0.0000 0.0000 0.2428 (multiplicity 6)
N1 0.0000 0.0000 0.0000 (multiplicity 3)

# 2
A plane-wave DFT calculation with PBE was carried out for crystalline Na3MoN3 at its relaxed geometry.

Cell: 6.7078 10.7581 6.2209 Å, 90.00 97.71 90.00°
Space group C2/m (No. 12)
One atom of each set of equivalent atoms:
Na1 0.0000 0.2048 0.0000 (multiplicity 4)
Na2 0.0000 0.2636 0.5000 (multiplicity 4)
Na3 0.1241 0.5000 0.8604 (multiplicity 4)
Mo1 0.1779 0.0000 0.6505 (multiplicity 4)
N1 0.1093 0.0000 0.3322 (multiplicity 4)
N2 0.1944 0.3607 0.2333 (multiplicity 8)

# 3
A plane-wave DFT calculation with PBE was carried out for crystalline NaMo2N3 at its relaxed geometry.

Cell: 5.4598 2.9622 8.2469 Å, 90.00 102.63 90.00°
Space group P2_1/m (No. 11)
One atom of each set of equivalent atoms:
Na1 0.0271 0.2500 0.3346 (multiplicity 2)
Mo1 0.2848 0.2500 0.9954 (multiplicity 2)
Mo2 0.4877 0.2500 0.6651 (multiplicity 2)
N1 0.1602 0.7500 0.1372 (multiplicity 2)
N2 0.2970 0.7500 0.5098 (multiplicity 2)
N3 0.3817 0.7500 0.8238 (multiplicity 2)

# 4
A plane-wave DFT calculation with PBE was carried out for crystalline NaMoN at its relaxed geometry.

Cell: 4.6885 3.1017 6.1935 Å, 90.00 108.87 90.00°
Space group P2_1/m (No. 11)
One atom of each set of equivalent atoms:
Na1 0.2324 0.2500 0.4461 (multiplicity 2)
Mo1 0.2594 0.2500 0.9639 (multiplicity 2)
N1 0.3333 0.7500 0.7697 (multiplicity 2)

# 5
A plane-wave DFT calculation with PBE was carried out for crystalline Na3Mo5N12 at its relaxed geometry.

Cell: 13.1011 13.1011 13.1011 Å, 90.00 90.00 90.00°
Space group Ia-3d (No. 230)
One atom of each set of equivalent atoms:
Na1 0.0000 0.2500 0.1250 (multiplicity 24)
Mo1 0.0000 0.0000 0.0000 (multiplicity 16)
Mo2 0.0000 0.2500 0.3750 (multiplicity 24)
N1 0.0378 0.0385 0.6442 (multiplicity 96)

# 6
A plane-wave DFT calculation with PBE was carried out for crystalline NaMoN3 at its relaxed geometry.

Cell: 3.9674 3.9674 3.9674 Å, 90.00 90.00 90.00°
Space group Pm-3m (No. 221)
One atom of each set of equivalent atoms:
Na1 0.0000 0.0000 0.0000 (multiplicity 1)
Mo1 0.5000 0.5000 0.5000 (multiplicity 1)
N1 0.0000 0.5000 0.5000 (multiplicity 3)

# 7
A plane-wave DFT calculation with PBE was carried out for crystalline Na3Mo2N4 at its relaxed geometry.

Cell: 11.2314 8.2677 5.7670 Å, 90.00 91.65 90.00°
Space group C2/c (No. 15)
One atom of each set of equivalent atoms:
Na1 0.0000 0.1118 0.2500 (multiplicity 4)
Na2 0.0995 0.3643 0.5195 (multiplicity 8)
Mo1 0.2037 0.1160 0.9136 (multiplicity 8)
N1 0.1267 0.3168 0.0342 (multiplicity 8)
N2 0.1628 0.0707 0.5947 (multiplicity 8)

# 8
A plane-wave DFT calculation with PBE was carried out for crystalline Na2MoN at its relaxed geometry.

Cell: 9.9225 9.9225 3.9162 Å, 90.00 90.00 90.00°
Space group I-42d (No. 122)
One atom of each set of equivalent atoms:
Na1 0.0907 0.2500 0.1250 (multiplicity 8)
Mo1 0.0000 0.0000 0.5000 (multiplicity 4)
N1 0.0000 0.0000 0.0000 (multiplicity 4)

# 9
A plane-wave DFT calculation with PBE was carried out for crystalline NaMoN3 at its relaxed geometry.

Cell: 3.8177 3.8177 3.8177 Å, 90.00 90.00 90.00°
Space group Pm-3m (No. 221)
One atom of each set of equivalent atoms:
Na1 0.0000 0.0000 0.0000 (multiplicity 1)
Mo1 0.5000 0.5000 0.5000 (multiplicity 1)
N1 0.0000 0.0000 0.5000 (multiplicity 3)

# 10
A plane-wave DFT calculation with PBE was carried out for crystalline Na3Nb2MoN6 at its relaxed geometry.

Cell: 5.3763 9.3124 6.0025 Å, 90.00 107.38 90.00°
Space group C2/m (No. 12)
One atom of each set of equivalent atoms:
Na1 0.0000 0.0000 0.0000 (multiplicity 2)
Na2 0.0000 0.3335 0.0000 (multiplicity 4)
Nb1 0.0000 0.1666 0.5000 (multiplicity 4)
Mo1 0.0000 0.5000 0.5000 (multiplicity 2)
N1 0.2302 0.3360 0.6986 (multiplicity 8)
N2 0.2381 0.0000 0.6985 (multiplicity 4)

# 11
A plane-wave DFT calculation with PBE was carried out for crystalline Na3Nb3MoN8 at its relaxed geometry.

Cell: 6.2168 6.2168 17.3669 Å, 90.00 90.00 120.00°
Space group R-3m (No. 166, hexagonal axes)
One atom of each set of equivalent atoms:
Na1 0.0000 0.5000 0.0000 (multiplicity 9)
Nb1 0.0000 0.5000 0.5000 (multiplicity 9)
Mo1 0.0000 0.0000 0.5000 (multiplicity 3)
N1 0.0000 0.0000 0.2314 (multiplicity 6)
N2 0.0090 0.5045 0.2296 (multiplicity 18)

# 12
A plane-wave DFT calculation with PBE was carried out for crystalline NaNdMoN3 at its relaxed geometry.

Cell: 13.9052 3.8929 7.2059 Å, 90.00 105.89 90.00°
Space group C2/m (No. 12)
One atom of each set of equivalent atoms:
Na1 0.1460 0.0000 0.0769 (multiplicity 4)
Nd1 0.1645 0.0000 0.6064 (multiplicity 4)
Mo1 0.0058 0.5000 0.2992 (multiplicity 4)
N1 0.0112 0.0000 0.3275 (multiplicity 4)
N2 0.1347 0.5000 0.8215 (multiplicity 4)
N3 0.1554 0.5000 0.3425 (multiplicity 4)

# 13
A plane-wave DFT calculation with PBE was carried out for crystalline NaNd2MoN4 at its relaxed geometry.

Cell: 5.8354 5.8354 8.1323 Å, 90.00 90.00 90.00°
Space group I-42m (No. 121)
One atom of each set of equivalent atoms:
Na1 0.0000 0.0000 0.0000 (multiplicity 2)
Nd1 0.0000 0.5000 0.2500 (multiplicity 4)
Mo1 0.0000 0.0000 0.5000 (multiplicity 2)
N1 0.2062 0.2062 0.3910 (multiplicity 8)

# 14
A plane-wave DFT calculation with PBE was carried out for crystalline Na2NdMoN4 at its relaxed geometry.

Cell: 6.1596 6.1596 6.4798 Å, 90.00 90.00 90.00°
Space group I-42m (No. 121)
One atom of each set of equivalent atoms:
Na1 0.0000 0.5000 0.2500 (multiplicity 4)
Nd1 0.0000 0.0000 0.0000 (multiplicity 2)
Mo1 0.0000 0.0000 0.5000 (multiplicity 2)
N1 0.1688 0.1688 0.6806 (multiplicity 8)

# 15
A plane-wave DFT calculation with PBE was carried out for crystalline Na2NiMoN at its relaxed geometry.

Cell: 4.9635 4.9635 4.4624 Å, 90.00 90.00 90.00°
Space group P4/mmm (No. 123)
One atom of each set of equivalent atoms:
Na1 0.0000 0.5000 0.0000 (multiplicity 2)
Ni1 0.0000 0.0000 0.0000 (multiplicity 1)
Mo1 0.0000 0.0000 0.5000 (multiplicity 1)
N1 0.5000 0.5000 0.5000 (multiplicity 1)

Number 1: raw total energy -10.23 eV/atom, M_tot 0.00 μB/cell, formation energy (no corrections) -0.2324 eV/atom. Number 2: raw total energy -6.01 eV/atom, M_tot 0.00 μB/cell, formation energy (no corrections) -0.3259 eV/atom. Number 3: raw total energy -8.24 eV/atom, M_tot 0.00 μB/cell, formation energy (no corrections) -0.2482 eV/atom. Number 4: raw total energy -6.85 eV/atom, M_tot 0.00 μB/cell, formation energy (no corrections) -0.0257 eV/atom. Number 5: raw total energy -7.82 eV/atom, M_tot 24.02 μB/cell, formation energy (no corrections) 0.0838 eV/atom. Number 6: raw total energy -7.09 eV/atom, M_tot 0.87 μB/cell, formation energy (no corrections) 0.3357 eV/atom. Number 7: raw total energy -6.85 eV/atom, M_tot 0.00 μB/cell, formation energy (no corrections) -0.2994 eV/atom. Number 8: raw total energy -4.99 eV/atom, M_tot 9.47 μB/cell, formation energy (no corrections) 0.4636 eV/atom. Number 9: raw total energy -4.63 eV/atom, M_tot 2.70 μB/cell, formation energy (no corrections) 2.7907 eV/atom. Number 10: raw total energy -7.63 eV/atom, M_tot 0.01 μB/cell, formation energy (no corrections) -0.5519 eV/atom. Number 11: raw total energy -7.98 eV/atom, M_tot 0.00 μB/cell, formation energy (no corrections) -0.5375 eV/atom. Number 12: raw total energy -7.47 eV/atom, M_tot 0.00 μB/cell, formation energy (no corrections) -0.4848 eV/atom. Number 13: raw total energy -7.69 eV/atom, M_tot 0.00 μB/cell, formation energy (no corrections) -0.8145 eV/atom. Number 14: raw total energy -6.79 eV/atom, M_tot 1.92 μB/cell, formation energy (no corrections) -0.3516 eV/atom. Number 15: raw total energy -3.68 eV/atom, M_tot 2.82 μB/cell, formation energy (no corrections) 1.8317 eV/atom.